1.
A geometry-optimized AgHS2Cl structure, computed with PBE.

Properties
magnetization: 0.7564 μB per atom
excess energy over the best structure of this formula in the dataset: 691.9 meV/atom
N(E_F): 2.1 states/eV per cell

abc: 4.9326 4.9326 5.1940
angles: 90.00 90.00 90.00
Closest atoms and distances in Å follow each position.
Fractional positions:
Ag 0.0000 0.0000 0.0000  4 S 2.47, 2 Cl 2.60
H 0.5000 0.5000 0.5000  4 Cl 3.49, 8 S 3.58
S 0.0000 0.5000 0.0000  2 Ag 2.47
S 0.5000 0.0000 0.0000  2 Ag 2.47
Cl 0.0000 0.0000 0.5000  2 Ag 2.60

2.
A geometry-optimized AgSbH2Cl8 structure, computed with PBE.

Properties
magnetization: 0.0000 μB per atom
final energy: -35.57 eV per formula unit

abc: 6.7730 6.9155 7.7517
angles: 90.05 90.89 93.96
Closest atoms and distances in Å follow each position.
Fractional positions:
Ag 0.0000 0.0000 0.0000  6 Cl 2.76-2.89
Sb 0.0000 0.0000 0.5000  6 Cl 2.41-2.43
H 0.2588 0.7037 0.2004  1 Cl 1.31
H 0.7412 0.2963 0.7996  1 Cl 1.31
Cl 0.1906 0.1780 0.2820  1 Sb 2.43
Cl 0.2072 0.1578 0.7240  1 Sb 2.43
Cl 0.2217 0.7422 0.4875  1 H 2.26, 1 Sb 2.41
Cl 0.2704 0.6961 0.0322  1 H 1.31
Cl 0.7296 0.3039 0.9678  1 H 1.31
Cl 0.7783 0.2578 0.5125  1 H 2.26, 1 Sb 2.41
Cl 0.7928 0.8422 0.2760  1 Sb 2.43
Cl 0.8094 0.8220 0.7180  1 Sb 2.43

3.
A geometry-optimized AgSnHCl2 structure, computed with PBE.

Properties
magnetization: 0.0000 μB per atom
final energy: -14.02 eV per formula unit
N(E_F): 0.1 states/eV per cell

abc: 5.2768 5.2768 3.6965
angles: 90.00 90.00 90.00
Closest atoms and distances in Å follow each position.
Fractional positions:
Ag 0.0000 0.0000 0.0000  8 Cl 3.22
Sn 0.5000 0.5000 0.0000  2 H 1.85
H 0.5000 0.5000 0.5000  2 Sn 1.85
Cl 0.0000 0.5000 0.5000  2 H 2.64
Cl 0.5000 0.0000 0.5000  2 H 2.64

4.
A geometry-optimized Ag2SnHCl structure, computed with PBE.

Properties
magnetization: 0.0000 μB per atom
final energy: -10.33 eV per formula unit
N(E_F): 3.5 states/eV per cell

abc: 4.9162 4.9162 6.0614
angles: 90.00 90.00 90.00
Closest atoms and distances in Å follow each position.
Fractional positions:
Ag 0.0000 0.5000 0.0000  2 Cl 2.46
Ag 0.5000 0.0000 0.0000  2 Cl 2.46
Sn 0.0000 0.0000 0.5000  2 Cl 3.03
H 0.5000 0.5000 0.5000  4 Sn 3.48
Cl 0.0000 0.0000 0.0000  4 Ag 2.46

5.
A geometry-optimized TlAg2HCl6 structure, computed with PBE.

Properties
magnetization: 0.0000 μB per atom
final energy: -27.44 eV per formula unit
N(E_F): 1.9 states/eV per cell

abc: 7.0741 5.8504 13.7164
angles: 90.00 120.84 90.00
Closest atoms and distances in Å follow each position.
Fractional positions:
Tl 0.0000 0.0000 0.0000  4 Cl 2.57-2.58
Tl 0.0000 0.5000 0.5000  4 Cl 2.57-2.58
Ag 0.3178 0.0023 0.8168  6 Cl 2.71-2.85
Ag 0.3178 0.4977 0.3168  6 Cl 2.71-2.85
Ag 0.6822 0.5023 0.6832  6 Cl 2.71-2.85
Ag 0.6822 0.9977 0.1832  6 Cl 2.71-2.85
H 0.5000 0.0000 0.5000  2 Cl 1.57
H 0.5000 0.5000 0.0000  2 Cl 1.57
Cl 0.0074 0.7306 0.3422  1 Tl 2.57, 2 Ag 2.71-2.75
Cl 0.0074 0.7694 0.8422  1 Tl 2.57, 2 Ag 2.71-2.75
Cl 0.3214 0.7312 0.6580  1 Tl 2.58, 2 Ag 2.71-2.74
Cl 0.3214 0.7688 0.1580  1 Tl 2.58, 2 Ag 2.71-2.74
Cl 0.3741 0.2217 0.4999  1 H 1.57
Cl 0.3741 0.2783 0.9999  1 H 1.57
Cl 0.6259 0.7217 0.0001  1 H 1.57
Cl 0.6259 0.7783 0.5001  1 H 1.57
Cl 0.6786 0.2312 0.8420  1 Tl 2.58, 2 Ag 2.71-2.74
Cl 0.6786 0.2688 0.3420  1 Tl 2.58, 2 Ag 2.71-2.74
Cl 0.9926 0.2306 0.1578  1 Tl 2.57, 2 Ag 2.71-2.75
Cl 0.9926 0.2694 0.6578  1 Tl 2.57, 2 Ag 2.71-2.75

6.
A geometry-optimized Y2AgHCl structure, computed with PBE.

Properties
magnetization: 0.0000 μB per atom
final energy: -22.54 eV per formula unit
N(E_F): 4.0 states/eV per cell

abc: 4.6228 4.6228 4.8607
angles: 90.00 90.00 90.00
Closest atoms and distances in Å follow each position.
Fractional positions:
Y 0.0000 0.5000 0.0000  2 H 2.31
Y 0.5000 0.0000 0.0000  2 H 2.31
Ag 0.0000 0.0000 0.5000  4 Cl 3.27, 8 Y 3.35
H 0.5000 0.5000 0.0000  4 Y 2.31, 2 Cl 2.43
Cl 0.5000 0.5000 0.5000  2 H 2.43

7.
A geometry-optimized ZrAgHCl2 structure, computed with PBE.

Properties
magnetization: 0.2376 μB per atom
final energy: -18.34 eV per formula unit
N(E_F): 3.3 states/eV per cell

abc: 5.1807 5.1807 3.3511
angles: 90.00 90.00 90.00
Closest atoms and distances in Å follow each position.
Fractional positions:
Zr 0.0000 0.0000 0.0000  8 Cl 3.09, 2 Zr 3.35
Ag 0.5000 0.5000 0.0000  2 H 1.68
H 0.5000 0.5000 0.5000  2 Ag 1.68
Cl 0.0000 0.5000 0.5000  2 H 2.59
Cl 0.5000 0.0000 0.5000  2 H 2.59

8.
A geometry-optimized HfAg3Cl8 structure, computed with PBE.

Properties
magnetization: 0.0000 μB per atom
final energy: -45.15 eV per formula unit
N(E_F): 6.4 states/eV per cell

abc: 6.9339 6.9339 7.7991
angles: 90.00 90.00 118.00
Closest atoms and distances in Å follow each position.
Fractional positions:
Hf 0.0000 0.0000 0.0000  6 Cl 2.45-2.50
Ag 0.0000 0.0000 0.5000  6 Cl 2.53-2.83
Ag 0.0000 0.5000 0.2652  6 Cl 2.60-2.89
Ag 0.5000 0.0000 0.7348  6 Cl 2.60-2.89
Cl 0.2106 0.7894 0.0000  1 Hf 2.50, 2 Ag 2.77
Cl 0.2126 0.7874 0.5000  3 Ag 2.53-2.60
Cl 0.2392 0.2563 0.2175  1 Hf 2.45
Cl 0.2563 0.2392 0.7825  1 Hf 2.45
Cl 0.7437 0.7608 0.7825  1 Hf 2.45
Cl 0.7608 0.7437 0.2175  1 Hf 2.45
Cl 0.7874 0.2126 0.5000  3 Ag 2.53-2.60
Cl 0.7894 0.2106 0.0000  1 Hf 2.50, 2 Ag 2.77

9.
A geometry-optimized HfAgCl3 structure, computed with PBE.

Properties
magnetization: 0.0000 μB per atom
excess energy over the best structure of this formula in the dataset: 1011.9 meV/atom
N(E_F): 8.1 states/eV per cell

abc: 5.0311 5.0311 5.0311
angles: 90.00 90.00 90.00
Closest atoms and distances in Å follow each position.
Fractional positions:
Hf 0.0000 0.0000 0.0000  12 Cl 3.56
Ag 0.5000 0.5000 0.5000  6 Cl 2.52
Cl 0.0000 0.5000 0.5000  2 Ag 2.52
Cl 0.5000 0.0000 0.5000  2 Ag 2.52
Cl 0.5000 0.5000 0.0000  2 Ag 2.52

10.
A geometry-optimized Hf3AgCl structure, computed with PBE.

Properties
magnetization: 0.3957 μB per atom
excess energy over the best structure of this formula in the dataset: 825.1 meV/atom
N(E_F): 3.6 states/eV per cell

abc: 5.1694 5.1694 5.1694
angles: 90.00 90.00 90.00
Closest atoms and distances in Å follow each position.
Fractional positions:
Hf 0.0000 0.0000 0.5000  2 Ag 2.58
Hf 0.0000 0.5000 0.0000  2 Ag 2.58
Hf 0.5000 0.0000 0.0000  2 Ag 2.58
Ag 0.0000 0.0000 0.0000  6 Hf 2.58
Cl 0.5000 0.5000 0.5000  12 Hf 3.66

11.
A geometry-optimized HfAg6Cl12 structure, computed with PBE.

Properties
magnetization: 0.0000 μB per atom
final energy: -64.06 eV per formula unit
N(E_F): 7.5 states/eV per cell

abc: 7.9948 7.9948 7.9948
angles: 91.75 91.75 91.75
Closest atoms and distances in Å follow each position.
Fractional positions:
Hf 0.0000 0.0000 0.0000  6 Cl 2.46
Ag 0.1200 0.6108 0.3421  4 Cl 2.54-2.62
Ag 0.3421 0.1200 0.6108  4 Cl 2.54-2.62
Ag 0.3892 0.6579 0.8800  4 Cl 2.54-2.62
Ag 0.6108 0.3421 0.1200  4 Cl 2.54-2.62
Ag 0.6579 0.8800 0.3892  4 Cl 2.54-2.62
Ag 0.8800 0.3892 0.6579  4 Cl 2.54-2.62
Cl 0.0701 0.7248 0.8792  1 Hf 2.46, 1 Ag 2.62
Cl 0.1208 0.9299 0.2752  1 Hf 2.46, 1 Ag 2.62
Cl 0.1782 0.3805 0.5563  3 Ag 2.54-2.60
Cl 0.2752 0.1208 0.9299  1 Hf 2.46, 1 Ag 2.62
Cl 0.3805 0.5563 0.1782  3 Ag 2.54-2.60
Cl 0.4437 0.8218 0.6195  3 Ag 2.54-2.60
Cl 0.5563 0.1782 0.3805  3 Ag 2.54-2.60
Cl 0.6195 0.4437 0.8218  3 Ag 2.54-2.60
Cl 0.7248 0.8792 0.0701  1 Hf 2.46, 1 Ag 2.62
Cl 0.8218 0.6195 0.4437  3 Ag 2.54-2.60
Cl 0.8792 0.0701 0.7248  1 Hf 2.46, 1 Ag 2.62
Cl 0.9299 0.2752 0.1208  1 Hf 2.46, 1 Ag 2.62

> Which formula does entry 10 have?

Hf3AgCl

> Which formula does entry 4 have?

Ag2SnHCl

> Number 9 is which compound?

HfAgCl3